1.
# Ca4Sn8Au

Ca4Sn8Au after structural relaxation (PBE-GGA, Alexandria via LeMat-Bulk).

## Properties
- Total magnetization: 0.00 Bohr magnetons per cell
- Formation energy from the elements: -433 meV per atom
- Fermi-level density of states: 6.85 states/eV per cell

Cell lengths 4.5105, 4.6537, 17.2146 Å; angles 90.00, 90.00, 90.00 degrees
Fractional positions:
Ca1 0.0000 0.0000 0.0000
Ca2 0.0000 0.5000 0.4732
Ca3 0.5000 0.0000 0.7857
Ca4 0.5000 0.5000 0.2886
Sn1 0.0000 0.0000 0.3153
Sn2 0.0000 0.0000 0.6156
Sn3 0.0000 0.5000 0.1469
Sn4 0.0000 0.5000 0.8717
Sn5 0.5000 0.0000 0.1413
Sn6 0.5000 0.0000 0.4319
Sn7 0.5000 0.5000 0.6162
Sn8 0.5000 0.5000 0.9875
Au1 0.0000 0.5000 0.7166

=====

2.
# ScMn2Ir

ScMn2Ir after structural relaxation (PBE-GGA, Alexandria via LeMat-Bulk).

## Properties
- Total magnetization: 13.63 Bohr magnetons per cell
- Formation energy from the elements: -158 meV per atom
- Fermi-level density of states: 6.53 states/eV per cell
- Offset from the most stable computed form: 9.9 kJ per mole of atoms

Cell lengths 3.1298, 4.4348, 9.2295 Å; angles 90.00, 90.00, 90.00 degrees
Fractional positions:
Sc1 0.0000 0.0000 0.0000
Sc2 0.5000 0.5000 0.5000
Mn1 0.0000 0.5000 0.2262
Mn2 0.0000 0.5000 0.7738
Mn3 0.5000 0.0000 0.2738
Mn4 0.5000 0.0000 0.7262
Ir1 0.0000 0.0000 0.5000
Ir2 0.5000 0.5000 0.0000

=====

3.
# BaMg2Pt

BaMg2Pt after structural relaxation (PBE-GGA, Alexandria via LeMat-Bulk).

## Properties
- Total magnetization: 0.00 Bohr magnetons per cell
- Formation energy from the elements: -160 meV per atom
- Fermi-level density of states: 1.53 states/eV per cell

Cell lengths 4.4438, 4.4438, 5.4311 Å; angles 90.00, 90.00, 90.00 degrees
Fractional positions:
Ba1 0.0000 0.0000 0.0000
Mg1 0.0000 0.5000 0.5000
Mg2 0.5000 0.0000 0.5000
Pt1 0.5000 0.5000 0.0000

=====

4.
# TaPBr3

TaPBr3 after structural relaxation (PBE-GGA, Alexandria via LeMat-Bulk).

## Properties
- Total magnetization: 3.76 Bohr magnetons per cell
- Fermi-level density of states: 5.72 states/eV per cell
- Offset from the most stable computed form: 68.8 kJ per mole of atoms

Cell lengths 5.1260, 5.1260, 5.1260 Å; angles 90.00, 90.00, 90.00 degrees
Fractional positions:
Ta1 0.0000 0.0000 0.0000
P1 0.5000 0.5000 0.5000
Br1 0.0000 0.5000 0.5000
Br2 0.5000 0.0000 0.5000
Br3 0.5000 0.5000 0.0000

=====

5.
# Li2PaCoN4

Li2PaCoN4 after structural relaxation (PBE-GGA, Alexandria via LeMat-Bulk).

## Properties
- Total magnetization: 0.00 Bohr magnetons per cell
- Fermi-level density of states: 0.51 states/eV per cell
- DFT total energy: -7.130 eV/atom

Cell lengths 5.3003, 5.3003, 6.0230 Å; angles 90.00, 90.00, 90.00 degrees
Fractional positions:
Li1 0.0000 0.5000 0.2500
Li2 0.0000 0.5000 0.7500
Li3 0.5000 0.0000 0.2500
Li4 0.5000 0.0000 0.7500
Pa1 0.0000 0.0000 0.0000
Pa2 0.5000 0.5000 0.5000
Co1 0.0000 0.0000 0.5000
Co2 0.5000 0.5000 0.0000
N1 0.1990 0.1990 0.6588
N2 0.1990 0.8010 0.3412
N3 0.3010 0.3010 0.1588
N4 0.3010 0.6990 0.8412
N5 0.6990 0.3010 0.8412
N6 0.6990 0.6990 0.1588
N7 0.8010 0.1990 0.3412
N8 0.8010 0.8010 0.6588

=====

6.
# Ce2S3F

Ce2S3F after structural relaxation (PBE-GGA, Alexandria via LeMat-Bulk).

## Properties
- Total magnetization: 2.08 Bohr magnetons per cell
- Fermi-level density of states: 17.09 states/eV per cell
- DFT total energy: -6.693 eV/atom

Cell lengths 7.9146, 7.9146, 7.9146 Å; angles 131.94, 73.57, 127.92 degrees
Fractional positions:
Ce1 0.1302 0.2351 0.3653
Ce2 0.3698 0.7351 0.1049
Ce3 0.6302 0.2649 0.8951
Ce4 0.8698 0.7649 0.6347
S1 0.0148 0.7500 0.2648
S2 0.2500 0.2500 0.0000
S3 0.4852 0.7500 0.7352
S4 0.5148 0.2500 0.2648
S5 0.7500 0.7500 0.0000
S6 0.9852 0.2500 0.7352
F1 0.0000 0.5000 0.5000
F2 0.5000 0.0000 0.5000

=====

7.
# Ce2Te

Ce2Te after structural relaxation (PBE-GGA, Alexandria via LeMat-Bulk).

## Properties
- Total magnetization: 2.63 Bohr magnetons per cell
- Fermi-level density of states: 16.36 states/eV per cell
- DFT total energy: -5.756 eV/atom

Cell lengths 4.2274, 4.2274, 9.4862 Å; angles 90.00, 90.00, 90.00 degrees
Fractional positions:
Ce1 0.0000 0.0000 0.1382
Ce2 0.0000 0.0000 0.8618
Ce3 0.5000 0.5000 0.3618
Ce4 0.5000 0.5000 0.6382
Te1 0.0000 0.0000 0.5000
Te2 0.5000 0.5000 0.0000

=====

8.
# Hg2SeBr2

Hg2SeBr2 after structural relaxation (PBE-GGA, Alexandria via LeMat-Bulk).

## Properties
- Total magnetization: 0.00 Bohr magnetons per cell
- Fermi-level density of states: 0.00 states/eV per cell
- Offset from the most stable computed form: 0.0 kJ per mole of atoms

Cell lengths 10.3137, 7.7518, 9.1321 Å; angles 90.00, 104.03, 90.00 degrees
Fractional positions:
Hg1 0.0037 0.1269 0.2003
Hg2 0.0037 0.3731 0.7003
Hg3 0.3250 0.1169 0.9057
Hg4 0.3250 0.3831 0.4057
Hg5 0.6750 0.6169 0.5943
Hg6 0.6750 0.8831 0.0943
Hg7 0.9963 0.6269 0.2997
Hg8 0.9963 0.8731 0.7997
Se1 0.1307 0.0903 0.6748
Se2 0.1307 0.4097 0.1748
Se3 0.8693 0.5903 0.8252
Se4 0.8693 0.9097 0.3252
Br1 0.1831 0.6127 0.5985
Br2 0.1831 0.8873 0.0985
Br3 0.4881 0.7233 0.3828
Br4 0.4881 0.7767 0.8828
Br5 0.5119 0.2233 0.1172
Br6 0.5119 0.2767 0.6172
Br7 0.8169 0.1127 0.9015
Br8 0.8169 0.3873 0.4015